Density functional theory data (GGA+U) for a geometry-optimized CrSOF2 structure.

Its relative energy among the computed polymorphs is 0.0 meV per atom. As for the magnetization: 4.9 μB per cell. The total energy is -5.0672 eV per atom.

a b c (Å): 3.932 3.932 4.037
angles (deg): 90.00 90.00 90.00
Space group P4/mmm (No. 123)
Asymmetric unit:
Cr  0.000  0.000  0.000
S  0.500  0.500  0.500
O  0.000  0.000  0.500
F  0.000  0.500  0.000